No. 1
VASP calculation (GGA-PBE) on an optimized crystal structure of UCuRh.

```
UCuRh
1.0
-1.0661 1.2413 2.9177
0.5747 -1.6846 2.8323
8.9581 4.8941 4.4465
Cu Rh U
2 2 2
Direct
0.2488 0.2488 0.5844
0.5042 0.5042 0.7230
0.6736 0.6736 0.4225
0.0796 0.0796 0.8849
0.0972 0.0972 0.2480
0.6561 0.6561 0.0594
```

Properties
VASP energy: -7.61 eV per atom
E above lowest polymorph: 0.051 eV/atom
Formation energy: -7.7 kJ/mol of formula units

=====

No. 2
VASP calculation (GGA-PBE) on an optimized crystal structure of YTc2Os.

```
YTc2Os
1.0
4.6263 0.0032 0.0000
-0.0028 4.6263 0.0000
0.0000 0.0000 3.1299
Tc Os Y
2 1 1
Direct
0.5000 0.5000 0.0000
0.0000 0.0000 0.0000
0.0000 0.5000 0.5000
0.5000 0.0000 0.5000
```

Properties
VASP energy: -9.27 eV per atom
E above lowest polymorph: 0.352 eV/atom
Formation energy: 131.0 kJ/mol of formula units

=====

No. 3
VASP calculation (GGA-PBE) on an optimized crystal structure of CaTcP2S.

```
CaTcP2S
1.0
5.0343 0.0000 0.0000
0.0000 5.0343 0.0000
0.0000 0.0000 4.9063
Tc S Ca P
1 1 1 2
Direct
0.5000 0.5000 0.5000
0.0000 0.0000 0.5000
0.0000 0.0000 0.0000
0.5000 0.0000 0.0000
0.0000 0.5000 0.0000
```

Properties
ΔE_f (raw): 1654.5 meV per atom
VASP energy: -3.81 eV per atom
E above lowest polymorph: 1.975 eV/atom